Here is a relaxed structure of TcAg from Alexandria via LeMat-Bulk. Energies are from PBE.

Space-group type ... No. 166
Calculated total energy ... -36.4 eV per cell
D(E_F) ... 4.4 states/eV/cell
Total moment ... 0.0 μB per cell
DFT formation energy ... 539 meV per atom

Cell lengths 2.743, 2.743, 14.639 Å; angles 90.00, 90.00, 120.00 degrees
Positions (direct):
1 Tc 0.000 0.000 0.000
2 Tc 0.333 0.667 0.667
3 Tc 0.667 0.333 0.333
4 Ag 0.000 0.000 0.500
5 Ag 0.333 0.667 0.167
6 Ag 0.667 0.333 0.833